A plane-wave DFT calculation with GGA-PBE was carried out for a relaxed Ba4RhI2N crystal.

extended XYZ file:
```
8
Lattice="7.6953 0.0000 0.0000 0.0000 4.4361 0.0000 -2.5411 0.0000 8.4301" Properties=species:S:1:pos:R:3 pbc="T T T"
Ba 1.2087 0.0000 1.5212
Ba -0.1922 2.2181 6.8719
Ba 5.3463 2.2181 1.5582
Ba 3.9455 0.0000 6.9089
Rh 3.8477 0.0000 0.0000
I -1.2706 0.0000 4.2150
I 2.5771 2.2181 4.2150
N 0.0000 2.2181 0.0000
```

Calculated values
Electronic total energy in eV per formula unit: -33.7
Raw formation energy in eV/atom: -0.90

A plane-wave DFT calculation with GGA-PBE was carried out for a relaxed BaRhI2N crystal.

extended XYZ file:
```
5
Lattice="6.7379 0.0000 0.0000 0.0000 6.7379 0.0000 0.0000 0.0000 5.3231" Properties=species:S:1:pos:R:3 pbc="T T T"
Ba 0.0000 0.0000 0.0000
Rh 3.3689 3.3689 2.6616
I 0.0000 3.3689 0.0000
I 3.3689 0.0000 0.0000
N 0.0000 0.0000 2.6616
```

Calculated values
Excess energy over the best structure of this formula in the dataset in meV/atom: 1276
N(E_F) in states/eV/f.u.: 7.4
Electronic total energy in eV per formula unit: -16.1
Raw formation energy in eV/atom: 0.91

A plane-wave DFT calculation with GGA-PBE was carried out for a relaxed Ba6Rh2I3N crystal.

extended XYZ file:
```
12
Lattice="3.8975 -6.7408 0.0000 3.8975 6.7408 0.0000 -2.5940 0.0000 8.4506" Properties=species:S:1:pos:R:3 pbc="T T T"
Ba 1.2056 2.0821 1.5695
Ba -0.1862 0.0000 6.8640
Ba 1.2056 -2.0821 1.5695
Ba 3.9954 2.0821 6.8811
Ba 5.3872 0.0000 1.5866
Ba 3.9954 -2.0821 6.8811
Rh 3.8975 2.2388 0.0000
Rh 3.8975 -2.2388 0.0000
I 2.6005 4.4395 4.2253
I 2.6005 0.0000 4.2253
I 2.6005 -4.4395 4.2253
N 0.0000 0.0000 0.0000
```

Calculated values
Electronic total energy in eV per formula unit: -49.7
Raw formation energy in eV/atom: -0.88

A plane-wave DFT calculation with GGA-PBE was carried out for a relaxed Ba2RhIN crystal.

extended XYZ file:
```
5
Lattice="5.9528 0.0000 0.0000 0.0000 5.9528 0.0000 0.0000 0.0000 3.8989" Properties=species:S:1:pos:R:3 pbc="T T T"
Ba 0.0000 2.9764 0.0000
Ba 2.9764 0.0000 0.0000
Rh 0.0000 0.0000 1.9495
I 2.9764 2.9764 1.9495
N 0.0000 0.0000 0.0000
```

Calculated values
N(E_F) in states/eV/f.u.: 2.5
Electronic total energy in eV per formula unit: -25.1
Raw formation energy in eV/atom: -0.80

A plane-wave DFT calculation with GGA-PBE was carried out for a relaxed Ba8Rh3I4N crystal.

extended XYZ file:
```
16
Lattice="4.5300 2.6154 8.4909 -4.5300 2.6154 8.4909 0.0000 -5.2307 8.4909" Properties=species:S:1:pos:R:3 pbc="T T T"
Ba 0.0000 0.0000 5.9639
Ba -2.1364 -1.2335 14.3076
Ba 0.0000 -2.4669 11.1652
Ba -2.1364 1.2335 11.1652
Ba 2.1364 -1.2334 14.3076
Ba 0.0000 2.4669 14.3076
Ba 2.1364 1.2334 11.1652
Ba 0.0000 0.0000 19.5089
Rh -4.5300 0.0000 12.7364
Rh -2.2650 1.3077 4.2455
Rh 2.2650 1.3077 4.2455
I 0.0000 0.0000 0.0000
I -2.2650 -1.3077 8.4909
I -2.2650 1.3077 16.9819
I 0.0000 2.6154 8.4909
N 0.0000 0.0000 12.7364
```

Calculated values
N(E_F) in states/eV/f.u.: 2.2
Electronic total energy in eV per formula unit: -65.4
Raw formation energy in eV/atom: -0.84

A plane-wave DFT calculation with GGA-PBE was carried out for a relaxed Ba6RhI3N2 crystal.

extended XYZ file:
```
12
Lattice="3.7859 -6.5576 0.0000 3.7859 6.5576 0.0000 -2.5288 0.0000 8.4050" Properties=species:S:1:pos:R:3 pbc="T T T"
Ba -0.0867 2.3304 6.9018
Ba 1.0984 0.0000 1.4924
Ba -0.0867 -2.3304 6.9018
Ba 5.1296 2.3304 1.5032
Ba 3.9446 0.0000 6.9126
Ba 5.1296 -2.3304 1.5032
Rh 3.7859 0.0000 0.0000
I -1.2644 0.0000 4.2025
I 2.5215 2.1353 4.2025
I 2.5215 -2.1353 4.2025
N 3.7859 4.3686 0.0000
N 3.7859 -4.3686 0.0000
```

Calculated values
Electronic total energy in eV per formula unit: -51.6
Raw formation energy in eV/atom: -0.95

A plane-wave DFT calculation with GGA-PBE was carried out for a relaxed BaRuIN2 crystal.

extended XYZ file:
```
5
Lattice="4.6645 0.0000 0.0000 0.0000 4.6645 0.0000 0.0000 0.0000 6.9726" Properties=species:S:1:pos:R:3 pbc="T T T"
Ba 0.0000 0.0000 0.0000
Ru 2.3322 2.3322 3.4863
I 0.0000 0.0000 3.4863
N 0.0000 2.3322 0.0000
N 2.3322 0.0000 0.0000
```

Calculated values
Excess energy over the best structure of this formula in the dataset in meV/atom: 1506
N(E_F) in states/eV/f.u.: 9.1
Electronic total energy in eV per formula unit: -19.1
Raw formation energy in eV/atom: 2.07

A plane-wave DFT calculation with GGA-PBE was carried out for a relaxed BaRuI2N crystal.

extended XYZ file:
```
5
Lattice="5.8596 0.0000 0.0000 0.0000 5.8596 0.0000 0.0000 0.0000 3.8435" Properties=species:S:1:pos:R:3 pbc="T T T"
Ba 0.0000 0.0000 0.0000
Ru 2.9298 2.9298 1.9217
I 0.0000 2.9298 1.9217
I 2.9298 0.0000 1.9217
N 2.9298 2.9298 0.0000
```

Calculated values
Excess energy over the best structure of this formula in the dataset in meV/atom: 0
N(E_F) in states/eV/f.u.: 2.6
Electronic total energy in eV per formula unit: -24.4
Raw formation energy in eV/atom: -0.36

A plane-wave DFT calculation with GGA-PBE was carried out for a relaxed BaRuIN2 crystal.

extended XYZ file:
```
5
Lattice="4.2955 0.0000 0.0000 0.0000 4.2955 0.0000 0.0000 0.0000 5.4458" Properties=species:S:1:pos:R:3 pbc="T T T"
Ba 0.0000 0.0000 0.0000
Ru 2.1477 2.1477 2.7229
I 2.1477 2.1477 0.0000
N 0.0000 2.1477 2.7229
N 2.1477 0.0000 2.7229
```

Calculated values
Excess energy over the best structure of this formula in the dataset in meV/atom: 0
N(E_F) in states/eV/f.u.: 2.8
Electronic total energy in eV per formula unit: -26.6
Raw formation energy in eV/atom: 0.56

A plane-wave DFT calculation with GGA-PBE was carried out for a relaxed BaRuI2N crystal.

extended XYZ file:
```
5
Lattice="6.7332 0.0000 0.0000 0.0000 6.7332 0.0000 0.0000 0.0000 5.1784" Properties=species:S:1:pos:R:3 pbc="T T T"
Ba 0.0000 0.0000 0.0000
Ru 3.3666 3.3666 2.5892
I 0.0000 3.3666 0.0000
I 3.3666 0.0000 0.0000
N 0.0000 0.0000 2.5892
```

Calculated values
Excess energy over the best structure of this formula in the dataset in meV/atom: 1489
N(E_F) in states/eV/f.u.: 3.0
Electronic total energy in eV per formula unit: -17.0
Raw formation energy in eV/atom: 1.13

A plane-wave DFT calculation with GGA-PBE was carried out for a relaxed Ba8S3I4N crystal.

extended XYZ file:
```
16
Lattice="4.5597 2.6326 8.2190 -4.5597 2.6326 8.2190 0.0000 -5.2651 8.2190" Properties=species:S:1:pos:R:3 pbc="T T T"
Ba 0.0000 0.0000 5.8093
Ba -2.0896 -1.2064 13.9013
Ba 0.0000 -2.4128 10.7558
Ba -2.0896 1.2064 10.7558
Ba 2.0896 -1.2064 13.9013
Ba 0.0000 2.4128 13.9013
Ba 2.0896 1.2064 10.7558
Ba 0.0000 0.0000 18.8479
S -4.5597 0.0000 12.3286
S -2.2799 1.3163 4.1095
S 2.2799 1.3163 4.1095
I 0.0000 0.0000 0.0000
I -2.2799 -1.3163 8.2190
I -2.2799 1.3163 16.4381
I 0.0000 2.6326 8.2190
N 0.0000 0.0000 12.3286
```

Calculated values
N(E_F) in states/eV/f.u.: 7.1
Electronic total energy in eV per formula unit: -67.0
Raw formation energy in eV/atom: -1.54

A plane-wave DFT calculation with GGA-PBE was carried out for a relaxed BaSIN2 crystal.

extended XYZ file:
```
5
Lattice="4.3369 0.0000 0.0000 0.0000 4.3369 0.0000 0.0000 0.0000 5.2842" Properties=species:S:1:pos:R:3 pbc="T T T"
Ba 0.0000 0.0000 0.0000
S 2.1685 2.1685 0.0000
I 2.1685 2.1685 2.6421
N 0.0000 2.1685 2.6421
N 2.1685 0.0000 2.6421
```

Calculated values
Excess energy over the best structure of this formula in the dataset in meV/atom: 0
N(E_F) in states/eV/f.u.: 2.3
Electronic total energy in eV per formula unit: -20.6
Raw formation energy in eV/atom: 0.72

Question: The highest electronic total energy belongs to which entry?
Answer: BaRhI2N

Question: raw formation energy of number 1 (Ba4RhI2N)?
Answer: -0.90 eV/atom

Question: The highest electronic total energy belongs to which entry?
Answer: BaRhI2N